(1)
Here is a relaxed structure of Er4Mg3Ag from the Alexandria database. Energies are from PBE.

The structure in POSCAR format:
```
Er4Mg3Ag
1.0
-1.760 -1.082 -2.685
3.922 -2.771 -1.454
-4.240 -9.461 6.591
Er Mg Ag
4 3 1
direct
0.500 0.500 0.320
0.000 0.500 0.840
0.000 0.000 0.162
0.500 0.000 0.676
0.000 0.500 0.566
0.000 0.000 0.431
0.500 0.000 0.938
0.500 0.500 0.066
```

## Properties
Formation energy in eV/atom: -0.063
Polymorph energy (0 for the lowest one) in eV/f.u.: 0.526


(2)
Here is a relaxed structure of Er4Mg3Ag from the Alexandria database. Energies are from PBE.

The structure in POSCAR format:
```
Er4Mg3Ag
1.0
-1.390 -2.531 2.336
2.944 -2.180 -0.610
7.178 6.522 11.340
Mg Ag Er
3 1 4
direct
0.500 0.500 0.247
0.500 0.500 0.500
0.500 0.500 0.753
0.500 0.500 0.000
0.000 0.000 0.884
0.000 0.000 0.116
0.000 0.000 0.372
0.000 0.000 0.628
```

## Properties
Formation energy in eV/atom: -0.128
Polymorph energy (0 for the lowest one) in eV/f.u.: 0.000


(3)
Here is a relaxed structure of ErMgAg2 from the Alexandria database. Energies are from PBE.

The structure in POSCAR format:
```
ErMgAg2
1.0
3.479 0.000 0.000
0.000 3.479 0.000
0.000 0.000 6.985
Mg Ag Er
1 2 1
direct
0.500 0.500 0.000
0.000 0.000 0.769
0.000 0.000 0.231
0.500 0.500 0.500
```

## Properties
Formation energy in eV/atom: -0.270


(4)
Here is a relaxed structure of ErMg4Ag2 from the Alexandria database. Energies are from PBE.

The structure in POSCAR format:
```
ErMg4Ag2
1.0
4.260 0.000 0.000
0.000 8.553 0.000
0.000 0.000 8.553
Er Mg Ag
2 8 4
direct
0.500 0.000 0.000
0.000 0.500 0.500
0.000 0.091 0.337
0.000 0.909 0.663
0.500 0.163 0.591
0.500 0.837 0.409
0.500 0.409 0.837
0.500 0.591 0.163
0.000 0.337 0.091
0.000 0.663 0.909
0.000 0.200 0.800
0.000 0.800 0.200
0.500 0.700 0.700
0.500 0.300 0.300
```

## Properties
Formation energy in eV/atom: -0.146
Polymorph energy (0 for the lowest one) in eV/f.u.: 0.000


Listing N(E_F) for the structures above in their given order: 1.08, 1.12, 0.47, 0.62 states/eV per atom.